Density functional theory data (PBE) for a relaxed SrAsAu2 crystal.

Lattice parameters (Å, degrees): 4.751 4.751 5.748 67.77 67.77 56.36
Positions (direct):
Sr (0.510, 0.510, 0.491)
Au (0.726, 0.726, 0.836)
Au (0.979, 0.979, 0.066)
As (0.286, 0.286, 0.106)

Output
Magnetic moment   0.00 μB per atom
Space group   Cm (8)
Calculated volume   24.4 Å³/atom
Fermi-level density of states   0.543 states/eV per atom

***

Density functional theory data (PBE) for a relaxed Ca8Al2Pd crystal.

Lattice parameters (Å, degrees): 5.218 8.895 8.948 119.81 106.95 90.00
Positions (direct):
Ca (0.342, 0.123, 0.684)
Ca (0.131, 0.131, 0.261)
Ca (0.658, 0.439, 0.316)
Ca (0.869, 0.869, 0.739)
Ca (0.342, 0.561, 0.684)
Ca (0.000, 0.677, 0.000)
Ca (0.000, 0.323, 0.000)
Ca (0.658, 0.877, 0.316)
Al (0.194, 0.694, 0.388)
Al (0.806, 0.306, 0.612)
Pd (0.500, 0.000, 0.000)

Output
Magnetic moment   0.00 μB per atom
Space group   Immm (71)
Calculated volume   30.9 Å³/atom
Fermi-level density of states   0.894 states/eV per atom

***

Density functional theory data (PBE) for a relaxed Sm6Y2Er5 crystal.

Lattice parameters (Å, degrees): 3.602 11.687 20.328 90.00 90.00 90.00
Positions (direct):
Sm (0.000, 0.418, 0.866)
Sm (0.500, 0.673, 0.868)
Sm (0.500, 0.173, 0.632)
Sm (0.000, 0.441, 0.580)
Sm (0.000, 0.559, 0.420)
Sm (0.500, 0.327, 0.132)
Sm (0.000, 0.059, 0.080)
Sm (0.500, 0.827, 0.368)
Sm (0.000, 0.941, 0.920)
Sm (0.000, 0.918, 0.634)
Sm (0.000, 0.582, 0.134)
Sm (0.000, 0.082, 0.366)
Er (0.500, 0.500, 0.000)
Er (0.500, 0.301, 0.446)
Er (0.500, 0.595, 0.275)
Er (0.500, 0.000, 0.500)
Er (0.500, 0.699, 0.554)
Er (0.500, 0.095, 0.225)
Er (0.500, 0.405, 0.725)
Er (0.500, 0.199, 0.946)
Er (0.500, 0.801, 0.054)
Er (0.500, 0.905, 0.775)
Y (0.000, 0.836, 0.211)
Y (0.000, 0.336, 0.289)
Y (0.000, 0.164, 0.789)
Y (0.000, 0.664, 0.711)

Output
Magnetic moment   0.00 μB per atom
Space group   Pbam (55)
Calculated volume   32.9 Å³/atom
Fermi-level density of states   1.212 states/eV per atom

***

no.,energy of formation from the pure elements (eV per atom),E (eV/atom)
1,-0.48,-3.7062
2,-0.14,-2.7488
3,0.10,-4.8274